[1]
{"formula": "MgTaCuGe", "functional": "PBE", "state": "optimized geometry", "lattice_angstrom": [[0.0000, 3.2291, 3.2291], [3.2291, 0.0000, 3.2291], [3.2291, 3.2291, 0.0000]], "species": ["Ge", "Mg", "Cu", "Ta"], "frac_coords": [[0.0000, 0.0000, 0.0000], [0.2500, 0.2500, 0.2500], [0.7500, 0.7500, 0.7500], [0.5000, 0.5000, 0.5000]], "sg": "F-43m, No. 216"}

[2]
{"formula": "LiMgTaPt", "functional": "PBE", "state": "optimized geometry", "lattice_angstrom": [[0.0000, 3.1413, 3.1413], [3.1413, 0.0000, 3.1413], [3.1413, 3.1413, 0.0000]], "species": ["Pt", "Mg", "Li", "Ta"], "frac_coords": [[0.5000, 0.5000, 0.5000], [0.2500, 0.2500, 0.2500], [0.7500, 0.7500, 0.7500], [0.0000, 0.0000, 0.0000]], "sg": "F-43m, No. 216"}

Across the entries above, excess energy over the best structure of this formula in the dataset takes the values 207; 584 meV per atom, respectively.